Below is a geometry-optimized SnGeTe2Os structure, with properties calculated at the GGA-PBE level.

E_form (uncorrected)	978	meV per atom
size of the total moment	0.00	μB per formula unit
volume	27.69	Å³ per atom

```
data_SnGeTe2Os
_chemical_formula_sum 'Sn1 Ge1 Te2 Os1'
_symmetry_space_group_name_H-M 'P 4/m m m'
_symmetry_Int_Tables_number 123
_symmetry_space_group_name_Hall '-P 4 2'
_cell_length_a 5.474
_cell_length_b 5.474
_cell_length_c 4.620
_cell_angle_alpha 90.00
_cell_angle_beta 90.00
_cell_angle_gamma 90.00
loop_
_atom_site_label
_atom_site_fract_x
_atom_site_fract_y
_atom_site_fract_z
_atom_site_occupancy
Sn1 0.000 0.000 0.000 1
Ge1 0.500 0.500 0.500 1
Te1 0.000 0.500 0.500 1
Os1 0.500 0.500 0.000 1
```